1.
Material: Pm2Ge6Pd
Method: DFT, PBE
State: relaxed

Properties
energy	-0.3856	Ry/atom

Lattice parameters (Å, degrees): 4.1040 4.1744 11.3090 90.00 100.45 90.00
Fractional coordinates of all 9 atoms:
Pm 0.3334 0.0000 0.6668
Pm 0.9968 0.0000 0.9936
Ge 0.7125 0.0000 0.4249
Ge 0.2113 0.5000 0.4226
Ge 0.0986 0.5000 0.1973
Ge 0.6001 0.0000 0.2002
Ge 0.4552 0.5000 0.9103
Ge 0.8857 0.5000 0.7714
Pd 0.7754 0.5000 0.5507

2.
Material: Na3LaPt
Method: DFT, PBE
State: relaxed

Properties
energy	-0.1951	Ry/atom

Lattice parameters (Å, degrees): 5.3586 5.3586 5.3586 90.00 90.00 90.00
Last column: magnetic moment on the atom in μB.
Fractional coordinates of all 5 atoms:
Na 0.0000 0.5000 0.0000  0.01
Na 0.0000 0.0000 0.5000  0.01
Na 0.5000 0.0000 0.0000  0.00
Pt 0.0000 0.0000 0.0000  0.03
La 0.5000 0.5000 0.5000  0.31

3.
Material: CsTl5In
Method: DFT, PBE
State: relaxed

Properties
energy above the lowest structure with this stoichiometry	0.00	eV per formula unit

Lattice parameters (Å, degrees): 4.8023 4.8023 11.3994 90.00 90.00 90.00
Fractional coordinates of all 7 atoms:
Cs 0.0000 0.0000 0.5000
Tl 0.0000 0.5000 0.2157
Tl 0.0000 0.5000 0.7843
Tl 0.5000 0.0000 0.2157
Tl 0.5000 0.0000 0.7843
Tl 0.0000 0.0000 0.0000
In 0.5000 0.5000 0.0000

4.
Material: Tm12In6Co
Method: DFT, PBE
State: relaxed

Properties
energy	-0.3119	Ry/atom

Lattice parameters (Å, degrees): 8.1557 8.1557 8.1557 94.36 94.36 94.36
Fractional coordinates of all 19 atoms:
Tm 0.7942 0.5747 0.4595
Tm 0.4595 0.7942 0.5747
Tm 0.5747 0.4595 0.7942
Tm 0.2058 0.4253 0.5405
Tm 0.5405 0.2058 0.4253
Tm 0.4253 0.5405 0.2058
Tm 0.9771 0.0884 0.3083
Tm 0.9116 0.6917 0.0229
Tm 0.6917 0.0229 0.9116
Tm 0.0229 0.9116 0.6917
Tm 0.0884 0.3083 0.9771
Tm 0.3083 0.9771 0.0884
In 0.6492 0.8638 0.2640
In 0.7360 0.3508 0.1362
In 0.1362 0.7360 0.3508
In 0.3508 0.1362 0.7360
In 0.2640 0.6492 0.8638
In 0.8638 0.2640 0.6492
Co 0.0000 0.0000 0.0000